Record 1
Computed, not measured: a geometry-optimized PmSmY2Te6 structure at the PBE level of DFT.

The structure in POSCAR format:
```
PmSmY2Te6
1.0
3.8975 2.2502 7.0818
-3.8975 2.2502 7.0818
0.0000 -4.5005 7.0818
Pm Sm Y Te
1 1 2 6
Cartesian
0.0000 0.0000 0.0000
0.0000 0.0000 10.6119
0.0000 0.0000 6.6172
0.0000 0.0000 17.2478
-2.4231 -0.0829 8.5671
-1.4649 -2.3204 12.1048
1.2834 -2.0571 8.5671
-1.2771 2.4289 12.1048
1.1398 2.1399 8.5671
2.7420 -0.1085 12.1048
```

Values from the calculation:
Its symmetry is R3, No. 146. The total energy is -55.1 eV/cell. As for the crystal system: trigonal. As for the formation energy (no corrections): -1.38 eV/atom.

---

Record 2
Computed, not measured: a geometry-optimized Pm3Sm4YTe8 structure at the PBE level of DFT.

The structure in POSCAR format:
```
Pm3Sm4YTe8
1.0
4.4478 2.5679 7.2507
-4.4478 2.5679 7.2507
0.0000 -5.1359 7.2507
Pm Sm Y Te
3 4 1 8
Cartesian
-2.2239 -1.2840 7.2507
-2.2239 1.2840 14.5014
0.0000 2.5679 7.2507
-4.4478 0.0000 10.8761
-2.2239 1.2840 3.6254
2.2239 1.2840 3.6254
0.0000 0.0000 10.8761
0.0000 0.0000 0.0000
-2.2505 -1.2994 12.6967
0.0000 -2.5987 9.0554
-2.2506 1.2994 9.0554
0.0000 0.0000 5.4242
0.0000 0.0000 16.3280
2.2505 -1.2994 12.6967
0.0000 2.5987 12.6967
2.2506 1.2994 9.0554
```

Values from the calculation:
Its symmetry is R-3m, No. 166. The total energy is -86.8 eV/cell. As for the crystal system: trigonal. For the density of states at the Fermi level, the calculation gives 12.32 states/eV/cell. As for the formation energy (no corrections): -1.38 eV/atom.

---

| no. | mass density (g/cm3) |
| --- | --- |
| 1 | 5.52 |
| 2 | 7.17 |